<w>
Crystalline Sr2In5Au3 at its relaxed geometry. Source: the Alexandria database, functional PBE.

Summary:
**Magnetic moment**: 0.000 μB per cell
**DOS at the Fermi energy**: 4.4 states/eV/f.u.

a = 12.3159 Å, b = 12.9686 Å, c = 6.5848 Å
α = 90.00°, β = 90.00°, γ = 90.00°
With the nearest neighbours (Å) after each atom.
Space group Ibam (No. 72)
One atom of each set of equivalent atoms:
Sr 0.2451 0.1301 0.0000 [8 per cell]  8 In 3.43-3.83, 4 Au 3.49-3.56
In 0.0000 0.0000 0.2500 [4 per cell]  4 Au 2.86
In 0.0000 0.2509 0.2500 [8 per cell]  2 Au 2.87, 2 In 2.99
In 0.1418 0.3886 0.0000 [8 per cell]  3 Au 2.72-2.80, 2 In 2.99
Au 0.0000 0.5000 0.2500 [4 per cell]  4 In 2.80
Au 0.1374 0.1247 0.5000 [8 per cell]  5 In 2.72-2.87

=====

<x>
Crystalline Sr2In5Au3 at its relaxed geometry. Source: the Alexandria database, functional PBE.

Summary:
**Magnetic moment**: 0.000 μB per cell
**DOS at the Fermi energy**: 4.8 states/eV/f.u.

a = 4.7509 Å, b = 27.7441 Å, c = 7.6799 Å
α = 90.00°, β = 90.00°, γ = 90.00°
With the nearest neighbours (Å) after each atom.
Space group Cmc2_1 (No. 36)
One atom of each set of equivalent atoms:
Sr 0.0000 0.0194 0.0000 [4 per cell]  5 Au 3.18-3.40, 4 In 3.41-3.52
Sr 0.0000 0.3239 0.9453 [4 per cell]  4 Au 3.34-3.58, 9 In 3.39-3.60
In 0.0000 0.1007 0.6476 [4 per cell]  3 Au 2.85-3.01, 1 In 3.05
In 0.0000 0.2066 0.1421 [4 per cell]  4 Au 2.83-2.92, 1 In 3.09
In 0.0000 0.2075 0.7397 [4 per cell]  3 Au 2.88-2.94, 2 In 3.05-3.09
In 0.0000 0.3764 0.4811 [4 per cell]  4 Au 2.89-3.21
In 0.0000 0.4459 0.8239 [4 per cell]  4 Au 2.88-2.96
Au 0.0000 0.1095 0.2566 [4 per cell]  4 In 2.83-3.01
Au 0.0000 0.2728 0.4385 [4 per cell]  7 In 2.88-2.94
Au 0.0000 0.4536 0.2083 [4 per cell]  5 In 2.85-3.00

=====

Which one sits at the bottom of the stability order? <w> does.

=====

<w>
Crystalline SrIn3Au2 at its relaxed geometry. Source: the Alexandria database, functional PBE.

Summary:
**Magnetic moment**: 0.000 μB per cell
**DOS at the Fermi energy**: 2.6 states/eV/f.u.

a = 18.4667 Å, b = 4.5446 Å, c = 11.3333 Å
α = 90.00°, β = 105.05°, γ = 90.00°
With the nearest neighbours (Å) after each atom.
Space group C2/m (No. 12)
One atom of each set of equivalent atoms:
Sr 0.0000 0.0000 0.0000 [2 per cell]  6 Au 3.42-3.59, 6 In 3.57-3.79
Sr 0.1573 0.0000 0.7035 [4 per cell]  6 Au 3.45-3.63, 5 In 3.51-3.69
In 0.0000 0.5000 0.5000 [2 per cell]  2 Au 2.77, 4 In 3.06
In 0.0386 0.0000 0.3453 [4 per cell]  4 Au 2.91-3.09, 3 In 3.06-3.11
In 0.1211 0.5000 0.2020 [4 per cell]  4 Au 2.89-2.96, 3 In 3.08-3.22
In 0.1743 0.5000 0.9658 [4 per cell]  4 Au 2.78-2.89, 1 In 3.08
In 0.2113 0.0000 0.3836 [4 per cell]  4 Au 2.75-2.88
Au 0.0352 0.5000 0.7967 [4 per cell]  4 In 2.78-2.91
Au 0.1445 0.5000 0.4704 [4 per cell]  5 In 2.75-2.96
Au 0.1994 0.0000 0.1286 [4 per cell]  6 In 2.81-2.93

=====

<x>
Crystalline SrIn3Au2 at its relaxed geometry. Source: the Alexandria database, functional PBE.

Summary:
**Magnetic moment**: 0.000 μB per cell
**DOS at the Fermi energy**: 2.8 states/eV/f.u.

a = 17.2763 Å, b = 4.5553 Å, c = 8.9924 Å
α = 90.00°, β = 120.51°, γ = 90.00°
With the nearest neighbours (Å) after each atom.
Space group C2/m (No. 12)
One atom of each set of equivalent atoms:
Sr 0.1307 0.0000 0.1232 [4 per cell]  6 Au 3.31-3.46, 8 In 3.42-3.64
In 0.0042 0.0000 0.3458 [4 per cell]  3 Au 2.82-3.16, 1 In 2.85
In 0.1639 0.5000 0.8475 [4 per cell]  3 Au 2.84-2.89
In 0.1714 0.5000 0.4692 [4 per cell]  3 Au 2.84-2.89
Au 0.0018 0.5000 0.1585 [4 per cell]  1 Au 2.82, 4 In 2.82-2.84
Au 0.1943 0.0000 0.6866 [4 per cell]  5 In 2.89-3.16

=====

Which one sits at the bottom of the stability order? <x> does.

=====

<w>
Crystalline SrZnInAu2 at its relaxed geometry. Source: the Alexandria database, functional PBE.

Summary:
**Magnetic moment**: 0.000 μB per cell
**DOS at the Fermi energy**: 2.1 states/eV/f.u.

a = 5.3105 Å, b = 5.3105 Å, c = 5.0163 Å
α = 90.00°, β = 90.00°, γ = 90.00°
With the nearest neighbours (Å) after each atom.
Space group P4/mmm (No. 123)
One atom of each set of equivalent atoms:
Sr 0.0000 0.0000 0.0000 [1 per cell]  8 Au 3.65, 4 Zn 3.76
Zn 0.5000 0.5000 0.0000 [1 per cell]  2 In 2.51
In 0.5000 0.5000 0.5000 [1 per cell]  2 Zn 2.51, 4 Au 2.66
Au 0.0000 0.5000 0.5000 [2 per cell]  2 In 2.66

=====

<x>
Crystalline SrZnInAu2 at its relaxed geometry. Source: the Alexandria database, functional PBE.

Summary:
**Magnetic moment**: 0.000 μB per cell
**DOS at the Fermi energy**: 2.2 states/eV/f.u.

a = 4.3686 Å, b = 4.3686 Å, c = 12.4937 Å
α = 90.00°, β = 90.00°, γ = 90.00°
With the nearest neighbours (Å) after each atom.
Space group I-4m2 (No. 119)
One atom of each set of equivalent atoms:
Sr 0.0000 0.0000 0.0000 [2 per cell]  8 Au 3.39
Zn 0.0000 0.5000 0.7500 [2 per cell]  4 Au 2.79, 4 In 3.09
In 0.0000 0.5000 0.2500 [2 per cell]  4 Au 2.79, 4 Zn 3.09
Au 0.0000 0.0000 0.3884 [4 per cell]  2 In 2.79, 2 Zn 2.79, 1 Au 2.79

=====

Which one sits at the bottom of the stability order? <w> does.

=====

<w>
Crystalline TbTmInAu at its relaxed geometry. Source: the Alexandria database, functional PBE.

Summary:
**Magnetic moment**: 0.000 μB per cell
**DOS at the Fermi energy**: 2.5 states/eV/f.u.

a = 7.3546 Å, b = 7.3546 Å, c = 7.3546 Å
α = 90.00°, β = 90.00°, γ = 90.00°
With the nearest neighbours (Å) after each atom.
Space group F-43m (No. 216)
One atom of each set of equivalent atoms:
Tb 0.0000 0.0000 0.0000 [4 per cell]  4 In 3.18, 4 Au 3.18
Tm 0.0000 0.0000 0.5000 [4 per cell]  4 In 3.18, 4 Au 3.18
In 0.2500 0.2500 0.7500 [4 per cell]  4 Tb 3.18, 4 Tm 3.18
Au 0.2500 0.2500 0.2500 [4 per cell]  4 Tb 3.18, 4 Tm 3.18

=====

<x>
Crystalline TbTmInAu at its relaxed geometry. Source: the Alexandria database, functional PBE.

Summary:
**Magnetic moment**: 0.000 μB per cell
**DOS at the Fermi energy**: 2.3 states/eV/f.u.

a = 3.5933 Å, b = 3.5933 Å, c = 7.6544 Å
α = 90.00°, β = 90.00°, γ = 90.00°
With the nearest neighbours (Å) after each atom.
Space group P4mm (No. 99)
One atom of each set of equivalent atoms:
Tb 0.0000 0.0000 0.0000 [1 per cell]  4 Au 3.17, 4 In 3.29, 1 Tm 3.54
Tm 0.0000 0.0000 0.5379 [1 per cell]  4 Au 3.02, 4 In 3.26
In 0.5000 0.5000 0.2721 [1 per cell]  4 Tm 3.26, 4 Tb 3.29, 4 In 3.59
Au 0.5000 0.5000 0.7518 [1 per cell]  4 Tm 3.02, 4 Tb 3.17

=====

Which one sits at the bottom of the stability order? <w> does.